VASP calculation (PBE with a Hubbard U) on an optimized crystal structure of TaVMoO6.

The structure in extended XYZ format:
```
18
Lattice="-0.339 -3.511 3.724 3.910 3.320 -0.047 -4.895 5.837 5.058" Properties=species:S:1:pos:R:3 pbc="T T T"
O -0.630 2.065 3.103
O -0.594 6.039 6.817
O 0.452 0.867 5.532
Ta -0.146 0.225 3.732
O -0.695 3.581 5.632
O -1.634 7.272 4.388
Mo 0.000 0.000 0.000
O -2.005 -0.178 4.361
O 0.681 5.824 4.374
O -0.730 -0.393 1.918
V -2.594 3.144 6.260
V 1.270 2.502 2.475
Mo -2.448 2.919 2.529
O 1.724 0.615 3.129
O 0.310 -1.625 4.347
O -1.776 4.779 3.203
Ta -1.178 5.421 5.003
O -3.048 5.031 5.606
```

Values from the calculation:
calculated total energy: -8.46 eV per atom
symmetry: No. 163
theoretical density: 6.75 Mg/m³